Compound: HfGaAg3
Source: Alexandria
Functional: PBE
Structure: relaxed

Structure (POSCAR):
```
HfGaAg3
1.0
4.741 0.000 0.000
0.000 4.741 0.000
0.000 0.000 4.741
Hf Ga Ag
1 1 3
direct
0.000 0.000 0.000 Hf
0.500 0.500 0.500 Ga
0.000 0.500 0.500 Ag
0.500 0.000 0.500 Ag
0.500 0.500 0.000 Ag
```

Values from the calculation:
Symmetry: Pm-3m (221)
N(E_F) (states/eV/cell): 5.64
DFT formation energy (eV per atom): 0.622